# 1
Compound: ScGeHIr
Source: Alexandria via LeMat-Bulk
Functional: GGA-PBE
Structure: relaxed

```
data_ScGeHIr
_space_group_name_H-M_alt 'P 4/n m m'
_space_group_IT_number 129
_cell_length_a 4.007
_cell_length_b 4.007
_cell_length_c 6.827
_cell_angle_alpha 90.00
_cell_angle_beta 90.00
_cell_angle_gamma 90.00
loop_
_space_group_symop_operation_xyz
'x,y,z'
'-x,-y,-z'
'-y+1/2,x,z'
'y+1/2,-x,-z'
'-x+1/2,-y+1/2,z'
'x+1/2,y+1/2,-z'
'y,-x+1/2,z'
'-y,x+1/2,-z'
'x+1/2,-y,-z'
'-x+1/2,y,z'
'-y,-x,-z'
'y,x,z'
'-x,y+1/2,-z'
'x,-y+1/2,z'
'y+1/2,x+1/2,-z'
'-y+1/2,-x+1/2,z'
loop_
_atom_site_label
_atom_site_fract_x
_atom_site_fract_y
_atom_site_fract_z
Sc1 0.250 0.250 0.153
Ge1 0.250 0.250 0.715
H1 0.250 0.750 0.000
Ir1 0.250 0.750 0.500
```

# 2
Compound: TaTlSn2Sb
Source: Alexandria via LeMat-Bulk
Functional: GGA-PBE
Structure: relaxed

```
data_TaTlSn2Sb
_space_group_name_H-M_alt 'P 4/m m m'
_space_group_IT_number 123
_space_group_name_Hall '-P 4 2'
_cell_length_a 5.540
_cell_length_b 5.540
_cell_length_c 5.437
_cell_angle_alpha 90.00
_cell_angle_beta 90.00
_cell_angle_gamma 90.00
loop_
_atom_site_label
_atom_site_fract_x
_atom_site_fract_y
_atom_site_fract_z
Ta1 0.000 0.000 0.000
Tl1 0.000 0.000 0.500
Sn1 0.000 0.500 0.500
Sb1 0.500 0.500 0.000
```

Results
Uncorrected formation energy: 1.4140 eV/atom

# 3
Compound: Pm12CdNi5
Source: Alexandria via LeMat-Bulk
Functional: GGA-PBE
Structure: relaxed

```
data_Pm12CdNi5
_space_group_name_H-M_alt 'I m m m'
_space_group_IT_number 71
_space_group_name_Hall '-I 2 2'
_cell_length_a 9.566
_cell_length_b 9.888
_cell_length_c 10.166
_cell_angle_alpha 90.00
_cell_angle_beta 90.00
_cell_angle_gamma 90.00
loop_
_atom_site_label
_atom_site_fract_x
_atom_site_fract_y
_atom_site_fract_z
Pm1 0.000 0.190 0.209
Pm2 0.194 0.500 0.177
Pm3 0.202 0.320 0.500
Cd1 0.000 0.000 0.500
Ni1 0.000 0.000 0.000
Ni2 0.000 0.368 0.000
Ni3 0.000 0.500 0.376
```

Calculated density, respectively: 9.417; 7.409; 7.411 g/cm³.
Density of states at the Fermi level, respectively: 0.472; 0.990; 0.926 states/eV/atom.
Uncorrected energy, respectively: -51.5; -19.3; -182.3 eV/cell.